VASP calculation (PBE-GGA) on Pa4OsSe5 after structural relaxation.

Calculated values
* space group: C2/m, No. 12
* E_tot: -77.7 eV for the cell shown

a = 9.125 Å, b = 9.125 Å, c = 8.165 Å
α = 104.30°, β = 104.30°, γ = 25.49°
Atoms (fractional coordinates):
Pa 0.001 0.001 0.267
Pa 0.337 0.337 0.400
Pa 0.663 0.663 0.600
Pa 0.999 0.999 0.733
Os 0.500 0.500 0.500
Se 0.166 0.166 0.844
Se 0.171 0.171 0.346
Se 0.500 0.500 0.000
Se 0.829 0.829 0.654
Se 0.834 0.834 0.156


VASP calculation (PBE-GGA) on Tm8Te4CS3 after structural relaxation.

Calculated values
* space group: R-3m, No. 166
* E_tot: -92.9 eV for the cell shown

a = 8.254 Å, b = 8.254 Å, c = 8.254 Å
α = 57.41°, β = 57.41°, γ = 57.41°
Atoms (fractional coordinates):
Tm 0.235 0.235 0.235
Tm 0.259 0.718 0.718
Tm 0.282 0.282 0.741
Tm 0.282 0.741 0.282
Tm 0.718 0.259 0.718
Tm 0.718 0.718 0.259
Tm 0.741 0.282 0.282
Tm 0.765 0.765 0.765
Te 0.000 0.000 0.000
Te 0.000 0.500 0.500
Te 0.500 0.000 0.500
Te 0.500 0.500 0.000
C 0.500 0.500 0.500
S 0.000 0.000 0.500
S 0.000 0.500 0.000
S 0.500 0.000 0.000


VASP calculation (PBE-GGA) on PSe2BrF after structural relaxation.

Calculated values
* space group: P4/mmm, No. 123
* E_tot: -12.5 eV for the cell shown
* offset from the most stable computed form: 0.3480 eV per atom

a = 4.309 Å, b = 4.309 Å, c = 6.088 Å
α = 90.00°, β = 90.00°, γ = 90.00°
Atoms (fractional coordinates):
P 0.000 0.000 0.000
Se 0.000 0.500 0.500
Se 0.500 0.000 0.500
Br 0.500 0.500 0.000
F 0.500 0.500 0.500


VASP calculation (PBE-GGA) on Bi2Sb2Cl after structural relaxation.

Calculated values
* space group: I4/mmm, No. 139
* E_tot: -18.1 eV for the cell shown
* offset from the most stable computed form: 0.1061 eV per atom

a = 7.799 Å, b = 7.799 Å, c = 7.799 Å
α = 141.94°, β = 141.94°, γ = 54.92°
Atoms (fractional coordinates):
Bi 0.126 0.126 0.000
Bi 0.874 0.874 0.000
Sb 0.250 0.750 0.500
Sb 0.750 0.250 0.500
Cl 0.500 0.500 0.000


VASP calculation (PBE-GGA) on Ba2Sr3Tl4 after structural relaxation.

Calculated values
* space group: Cmce, No. 64
* E_tot: -42.5 eV for the cell shown
* offset from the most stable computed form: 0.0284 eV per atom

a = 11.302 Å, b = 11.302 Å, c = 8.822 Å
α = 90.00°, β = 90.00°, γ = 140.02°
Atoms (fractional coordinates):
Ba 0.094 0.906 0.908
Ba 0.406 0.594 0.408
Ba 0.594 0.406 0.592
Ba 0.906 0.094 0.092
Sr 0.000 0.000 0.500
Sr 0.010 0.490 0.750
Sr 0.490 0.010 0.250
Sr 0.500 0.500 0.000
Sr 0.510 0.990 0.750
Sr 0.990 0.510 0.250
Tl 0.160 0.840 0.513
Tl 0.175 0.325 0.750
Tl 0.325 0.175 0.250
Tl 0.340 0.660 0.013
Tl 0.660 0.340 0.987
Tl 0.675 0.825 0.750
Tl 0.825 0.675 0.250
Tl 0.840 0.160 0.487


VASP calculation (PBE-GGA) on Li3Gd after structural relaxation.

Calculated values
* space group: Immm, No. 71
* E_tot: -19.2 eV for the cell shown
* offset from the most stable computed form: 0.0000 eV per atom

a = 6.030 Å, b = 6.030 Å, c = 6.030 Å
α = 147.01°, β = 126.86°, γ = 63.98°
Atoms (fractional coordinates):
Li 0.000 0.000 0.000
Li 0.222 0.722 0.500
Li 0.778 0.278 0.500
Gd 0.500 0.500 0.000


VASP calculation (PBE-GGA) on Ba2TaOs after structural relaxation.

Calculated values
* space group: Pm, No. 6
* E_tot: -25.4 eV for the cell shown
* offset from the most stable computed form: 0.0858 eV per atom

a = 3.458 Å, b = 3.660 Å, c = 10.182 Å
α = 90.00°, β = 99.72°, γ = 90.00°
Atoms (fractional coordinates):
Ba 0.000 0.000 0.000
Ba 0.198 0.500 0.393
Ta 0.364 0.500 0.727
Os 0.827 0.000 0.652


VASP calculation (PBE-GGA) on ZrAlBr2 after structural relaxation.

Calculated values
* space group: F-43m, No. 216
* E_tot: -14.7 eV for the cell shown
* offset from the most stable computed form: 0.9436 eV per atom

a = 5.153 Å, b = 5.153 Å, c = 5.153 Å
α = 60.00°, β = 60.00°, γ = 60.00°
Atoms (fractional coordinates):
Zr 0.000 0.000 0.000
Al 0.750 0.750 0.750
Br 0.250 0.250 0.250
Br 0.500 0.500 0.500